# 1
The following is a GGA-PBE calculation of an optimized crystal structure of Ac5ThPt6, from Alexandria.

The calculation puts the energy of formation from the pure elements at -27.32 kcal/mol of atoms.

It has space group C2/m (No. 12), with a = 7.561 Å, b = 13.071 Å, c = 7.546 Å, α = 90.00°, β = 109.49° and γ = 90.00°. The distinct sites, in fractional coordinates, are Ac at (0.000, 0.000, 0.000), Ac at (0.000, 0.166, 0.500), Ac at (0.000, 0.332, 0.000), Th at (0.000, 0.500, 0.500), Pt at (0.238, 0.500, 0.259) and Pt at (0.240, 0.340, 0.741).



# 2
The following is a GGA-PBE calculation of an optimized crystal structure of Pm2IBr, from Alexandria.

The energy relative to the elements, uncorrected is -0.988 eV/atom.

It has space group R3m (No. 160, hexagonal axes), with a = 3.7954 Å, b = 3.7954 Å, c = 28.3033 Å, α = 90.00°, β = 90.00° and γ = 120.00°. The distinct sites, in fractional coordinates, are Pm at (0.0000, 0.0000, 0.0000), Pm at (0.0000, 0.0000, 0.1689), I at (0.0000, 0.0000, 0.4181) and Br at (0.0000, 0.0000, 0.5845).



# 3
The following is a GGA-PBE calculation of an optimized crystal structure of DyTh3Tl4, from Alexandria.

Its excess energy over the best structure of this formula in the dataset is 0.0 meV/atom. The calculation puts the energy of formation from the pure elements at -4.44 kcal/mol of atoms.

It has space group P4/mmm (No. 123), with a = 3.565 Å, b = 3.565 Å, c = 18.074 Å, α = 90.00°, β = 90.00° and γ = 90.00°. The distinct sites, in fractional coordinates, are Dy at (0.000, 0.000, 0.000), Th at (0.000, 0.000, 0.245), Th at (0.000, 0.000, 0.500), Tl at (0.500, 0.500, 0.118) and Tl at (0.500, 0.500, 0.373).



# 4
The following is a GGA-PBE calculation of an optimized crystal structure of CePaZn, from Alexandria.

Its excess energy over the best structure of this formula in the dataset is 31.9 meV/atom. The calculation puts the energy of formation from the pure elements at 0.80 kcal/mol of atoms.

It has space group P-6m2 (No. 187), with a = 5.0438 Å, b = 5.0438 Å, c = 2.8810 Å, α = 90.00°, β = 90.00° and γ = 120.00°. The distinct sites, in fractional coordinates, are Ce at (0.0000, 0.0000, 0.0000), Pa at (0.3333, 0.6667, 0.0000) and Zn at (0.6667, 0.3333, 0.5000).



# 5
The following is a GGA-PBE calculation of an optimized crystal structure of FeSbRu3, from Alexandria.

Its excess energy over the best structure of this formula in the dataset is 0.0 meV/atom. The energy relative to the elements, uncorrected is 1.111 eV/atom.

It has space group Pm-3m (No. 221), with a = 4.440 Å, b = 4.440 Å, c = 4.440 Å, α = 90.00°, β = 90.00° and γ = 90.00°. The distinct sites, in fractional coordinates, are Fe at (0.000, 0.000, 0.000), Sb at (0.500, 0.500, 0.500) and Ru at (0.000, 0.000, 0.500).



# 6
The following is a GGA-PBE calculation of an optimized crystal structure of Ac2La5, from Alexandria.

Its excess energy over the best structure of this formula in the dataset is 62.2 meV/atom. The calculation puts the energy of formation from the pure elements at 2.23 kcal/mol of atoms.

It has space group R-3m (No. 166, hexagonal axes), with a = 5.9688 Å, b = 5.9688 Å, c = 26.9240 Å, α = 90.00°, β = 90.00° and γ = 120.00°. The distinct sites, in fractional coordinates, are Ac at (0.0000, 0.0000, 0.1348), La at (0.0000, 0.0000, 0.0000), La at (0.0000, 0.0000, 0.2702) and La at (0.0000, 0.0000, 0.4088).



# 7
The following is a GGA-PBE calculation of an optimized crystal structure of Tb3Al3Ga, from Alexandria.

The calculation puts the energy of formation from the pure elements at -10.84 kcal/mol of atoms.

It has space group Imm2 (No. 44), with a = 3.686 Å, b = 4.465 Å, c = 19.560 Å, α = 90.00°, β = 90.00° and γ = 90.00°. The distinct sites, in fractional coordinates, are Tb at (0.000, 0.000, 0.000), Tb at (0.000, 0.000, 0.387), Tb at (0.000, 0.500, 0.195), Al at (0.000, 0.000, 0.555), Al at (0.000, 0.000, 0.833), Al at (0.000, 0.500, 0.629) and Ga at (0.000, 0.500, 0.760).



# 8
The following is a GGA-PBE calculation of an optimized crystal structure of TlOsPb2, from Alexandria.

Its excess energy over the best structure of this formula in the dataset is 459.2 meV/atom. The calculation puts the energy of formation from the pure elements at 21.45 kcal/mol of atoms.

It has space group I-4m2 (No. 119), with a = 5.254 Å, b = 5.254 Å, c = 6.936 Å, α = 90.00°, β = 90.00° and γ = 90.00°. The distinct sites, in fractional coordinates, are Tl at (0.000, 0.000, 0.000), Os at (0.000, 0.500, 0.750), Pb at (0.000, 0.000, 0.500) and Pb at (0.000, 0.500, 0.250).



# 9
The following is a GGA-PBE calculation of an optimized crystal structure of Zr3PbSe, from Alexandria.

Its excess energy over the best structure of this formula in the dataset is 308.9 meV/atom. The energy relative to the elements, uncorrected is -0.088 eV/atom.

It has space group Pm-3m (No. 221), with a = 5.024 Å, b = 5.024 Å, c = 5.024 Å, α = 90.00°, β = 90.00° and γ = 90.00°. The distinct sites, in fractional coordinates, are Zr at (0.000, 0.000, 0.500), Pb at (0.500, 0.500, 0.500) and Se at (0.000, 0.000, 0.000).



# 10
The following is a GGA-PBE calculation of an optimized crystal structure of ZnTeIr2, from Alexandria.

Its excess energy over the best structure of this formula in the dataset is 37.0 meV/atom. The energy relative to the elements, uncorrected is 0.226 eV/atom.

It has space group P4mm (No. 99), with a = 3.577 Å, b = 3.577 Å, c = 5.351 Å, α = 90.00°, β = 90.00° and γ = 90.00°. The distinct sites, in fractional coordinates, are Zn at (0.000, 0.000, 0.000), Te at (0.500, 0.500, 0.653), Ir at (0.000, 0.000, 0.483) and Ir at (0.500, 0.500, 0.151).



# 11
The following is a GGA-PBE calculation of an optimized crystal structure of LaBeTcO6, from Alexandria.

The energy relative to the elements, uncorrected is -2.161 eV/atom.

It has space group P1 (No. 1), with a = 4.860 Å, b = 5.053 Å, c = 5.096 Å, α = 83.13°, β = 85.61° and γ = 62.28°. The distinct sites, in fractional coordinates, are La at (0.000, 0.000, 0.000), Be at (0.655, 0.751, 0.664), Tc at (0.251, 0.417, 0.521), O at (0.158, 0.155, 0.391), O at (0.374, 0.672, 0.700), O at (0.473, 0.468, 0.248), O at (0.524, 0.089, 0.768), O at (0.871, 0.753, 0.392) and O at (0.946, 0.501, 0.837).



# 12
The following is a GGA-PBE calculation of an optimized crystal structure of Ac2La3Pr5, from Alexandria.

The calculation puts the energy of formation from the pure elements at 3.66 kcal/mol of atoms.

It has space group C2/c (No. 15), with a = 11.328 Å, b = 14.629 Å, c = 10.825 Å, α = 90.00°, β = 121.37° and γ = 90.00°. The distinct sites, in fractional coordinates, are Ac at (0.152, 0.124, 0.053), La at (0.000, 0.276, 0.750), La at (0.153, 0.375, 0.556), Pr at (0.000, 0.023, 0.250), Pr at (0.000, 0.239, 0.250), Pr at (0.000, 0.491, 0.750) and Pr at (0.246, 0.124, 0.746).